1.
{"formula": "FeAgHg2", "functional": "PBE-GGA", "state": "relaxed", "lattice_angstrom": [[-2.368, -3.097, -2.868], [-1.439, -4.598, -0.457], [-5.153, 0.424, 2.250]], "species": ["Ag", "Hg", "Hg", "Fe"], "fractional_positions": [[0.750, 0.750, 0.750], [0.506, 0.506, 0.488], [0.994, 0.994, 0.012], [0.250, 0.250, 0.250]], "rho_g_cm3": 12.3, "total_energy_ev_per_atom": -2.601, "m_tot_mub_per_fu": 2.9, "relative_energy_ev_per_atom": 0.080}


2.
{"formula": "FeAgHg2", "functional": "PBE-GGA", "state": "relaxed", "lattice_angstrom": [[-3.397, 4.167, 1.813], [-2.972, -1.167, 4.689], [5.053, 0.762, -2.464]], "species": ["Hg", "Fe", "Hg", "Ag"], "fractional_positions": [[0.986, 0.986, 0.000], [0.750, 0.250, 0.500], [0.514, 0.514, 0.000], [0.250, 0.750, 0.500]], "rho_g_cm3": 12.2, "total_energy_ev_per_atom": -2.568, "m_tot_mub_per_fu": 2.9, "relative_energy_ev_per_atom": 0.113}


3.
{"formula": "FeAgHg2", "functional": "PBE-GGA", "state": "relaxed", "lattice_angstrom": [[-0.253, -4.080, 0.745], [0.700, -0.778, -4.021], [9.859, -2.710, 0.095]], "species": ["Fe", "Fe", "Hg", "Ag", "Hg", "Hg", "Ag", "Hg"], "fractional_positions": [[0.500, 0.500, 0.000], [0.250, 0.750, 0.500], [0.875, 0.869, 0.750], [0.000, 0.000, 0.000], [0.375, 0.381, 0.750], [0.131, 0.625, 0.250], [0.750, 0.250, 0.500], [0.619, 0.125, 0.250]], "rho_g_cm3": 11.1, "total_energy_ev_per_atom": -2.431, "m_tot_mub_per_fu": 3.0, "relative_energy_ev_per_atom": 0.250}


4.
{"formula": "FeAg2Hg", "functional": "PBE-GGA", "state": "relaxed", "lattice_angstrom": [[2.994, 0.000, 0.000], [0.000, 4.802, 0.000], [0.000, 0.000, 4.908]], "species": ["Fe", "Ag", "Hg", "Ag"], "fractional_positions": [[0.500, 0.000, 0.500], [0.000, 0.000, 0.000], [0.000, 0.500, 0.500], [0.500, 0.500, 0.000]], "rho_g_cm3": 11.1, "total_energy_ev_per_atom": -3.263, "m_tot_mub_per_fu": 2.8}


5.
{"formula": "FeAg2Hg", "functional": "PBE-GGA", "state": "relaxed", "lattice_angstrom": [[-6.034, 5.354, 5.146], [-7.698, 4.976, 2.743], [-7.696, 2.935, 4.870]], "species": ["Ag", "Ag", "Hg", "Fe"], "fractional_positions": [[0.246, 0.246, 0.246], [0.997, 0.997, 0.997], [0.754, 0.754, 0.754], [0.502, 0.502, 0.502]], "rho_g_cm3": 11.1, "total_energy_ev_per_atom": -3.302, "m_tot_mub_per_fu": 2.9}


6.
{"formula": "FeAg2Hg", "functional": "PBE-GGA", "state": "relaxed", "lattice_angstrom": [[4.699, 0.000, 0.000], [0.000, 4.699, 0.000], [0.000, 0.000, 3.242]], "species": ["Ag", "Fe", "Hg", "Ag"], "fractional_positions": [[0.000, 0.000, 0.000], [0.500, 0.000, 0.500], [0.000, 0.500, 0.500], [0.500, 0.500, 0.000]], "rho_g_cm3": 11.0, "total_energy_ev_per_atom": -3.193, "m_tot_mub_per_fu": 3.0}


7.
{"formula": "FeAgHg2", "functional": "PBE-GGA", "state": "relaxed", "lattice_angstrom": [[-1.659, -1.687, -1.813], [0.864, -2.471, 1.510], [-5.500, -1.651, 6.569]], "species": ["Hg", "Hg", "Ag", "Fe"], "fractional_positions": [[0.000, 0.482, 0.518], [0.000, 0.018, 0.982], [0.500, 0.250, 0.250], [0.500, 0.750, 0.750]], "rho_g_cm3": 12.7, "total_energy_ev_per_atom": -2.681, "m_tot_mub_per_fu": 2.7, "relative_energy_ev_per_atom": 0.000}


8.
{"formula": "FeAgHg2", "functional": "PBE-GGA", "state": "relaxed", "lattice_angstrom": [[4.896, 0.000, 0.000], [0.000, 3.058, -0.004], [0.000, 0.006, 4.952]], "species": ["Hg", "Fe", "Hg", "Ag"], "fractional_positions": [[0.000, 0.125, 0.907], [0.500, 0.625, 0.838], [0.500, 0.125, 0.338], [0.000, 0.625, 0.417]], "rho_g_cm3": 12.7, "total_energy_ev_per_atom": -2.632, "m_tot_mub_per_fu": 2.7, "relative_energy_ev_per_atom": 0.049}


9.
{"formula": "FeAgHg2", "functional": "PBE-GGA", "state": "relaxed", "lattice_angstrom": [[9.494, 0.011, 0.006], [9.001, 3.021, 0.006], [9.001, 1.475, 2.636]], "species": ["Ag", "Hg", "Fe", "Hg"], "fractional_positions": [[0.250, 0.250, 0.250], [0.495, 0.495, 0.495], [0.750, 0.750, 0.750], [0.005, 0.005, 0.005]], "rho_g_cm3": 12.5, "total_energy_ev_per_atom": -2.653, "m_tot_mub_per_fu": 2.7, "relative_energy_ev_per_atom": 0.028}


10.
{"formula": "FeAgHg2", "functional": "PBE-GGA", "state": "relaxed", "lattice_angstrom": [[-0.593, 1.184, -2.684], [-1.067, -2.636, -0.927], [-7.780, 2.204, 2.691]], "species": ["Ag", "Fe", "Hg", "Hg"], "fractional_positions": [[0.000, 0.000, 0.529], [0.500, 0.500, 0.740], [0.000, 0.000, 0.964], [0.500, 0.500, 0.267]], "rho_g_cm3": 12.3, "total_energy_ev_per_atom": -2.665, "m_tot_mub_per_fu": 3.0, "relative_energy_ev_per_atom": 0.016}


11.
{"formula": "FeAg2Hg", "functional": "PBE-GGA", "state": "relaxed", "lattice_angstrom": [[-2.244, -1.133, 1.491], [0.340, -2.535, -1.414], [5.222, -2.588, 5.893]], "species": ["Hg", "Fe", "Ag", "Ag"], "fractional_positions": [[0.500, 0.500, 0.750], [0.500, 0.500, 0.250], [0.000, 0.000, 0.473], [0.000, 0.000, 0.027]], "rho_g_cm3": 11.1, "total_energy_ev_per_atom": -3.319, "m_tot_mub_per_fu": 2.9}


12.
{"formula": "FeAg2Hg", "functional": "PBE-GGA", "state": "relaxed", "lattice_angstrom": [[4.871, -0.142, 0.000], [1.235, 4.714, 0.000], [-3.053, -2.286, 3.033]], "species": ["Ag", "Hg", "Fe", "Ag"], "fractional_positions": [[0.000, 0.000, 0.000], [0.750, 0.250, 0.500], [0.500, 0.500, 0.000], [0.250, 0.750, 0.500]], "rho_g_cm3": 11.2, "total_energy_ev_per_atom": -3.265, "m_tot_mub_per_fu": 2.9}


13.
{"formula": "NbFe2AgHg", "functional": "PBE-GGA", "state": "relaxed", "lattice_angstrom": [[4.705, 0.000, 0.000], [0.000, 4.886, 0.000], [0.000, 0.000, 4.705]], "species": ["Hg", "Nb", "Ag", "Fe", "Fe"], "fractional_positions": [[0.000, 0.000, 0.000], [0.500, 0.500, 0.500], [0.000, 0.500, 0.000], [0.500, 0.000, 0.000], [0.000, 0.000, 0.500]], "rho_g_cm3": 7.9, "total_energy_ev_per_atom": -3.895, "m_tot_mub_per_fu": 1.9}


14.
{"formula": "FeAgHgS2", "functional": "PBE-GGA", "state": "relaxed", "lattice_angstrom": [[-4.879, -0.579, 1.127], [1.195, -0.814, 4.757], [-0.369, 4.939, 0.938]], "species": ["S", "S", "Hg", "Ag", "Fe"], "fractional_positions": [[0.000, 0.000, 0.500], [0.500, 0.000, 0.000], [0.000, 0.000, 0.000], [0.500, 0.500, 0.500], [0.000, 0.500, 0.000]], "rho_g_cm3": 5.6, "raw_formation_energy_ev_per_fu": 5.63, "total_energy_ev_per_atom": -2.849, "m_tot_mub_per_fu": 3.2}


15.
{"formula": "Ho5Fe2Ag", "functional": "PBE-GGA", "state": "relaxed", "lattice_angstrom": [[-3.959, 6.084, -1.092], [0.014, -1.288, -7.226], [-3.979, -6.152, 4.817]], "species": ["Ho", "Fe", "Fe", "Ag", "Ho", "Fe", "Ho", "Ho", "Ho", "Fe", "Ho", "Ho", "Ho", "Ag", "Ho", "Ho"], "fractional_positions": [[0.191, 0.037, 0.727], [0.608, 0.108, 0.000], [0.892, 0.608, 0.000], [0.250, 0.250, 0.500], [0.500, 0.500, 0.000], [0.108, 0.392, 0.000], [0.537, 0.691, 0.727], [0.691, 0.191, 0.727], [0.463, 0.309, 0.273], [0.392, 0.892, 0.000], [0.309, 0.809, 0.273], [0.037, 0.537, 0.727], [0.000, 0.000, 0.000], [0.750, 0.750, 0.500], [0.963, 0.463, 0.273], [0.809, 0.963, 0.273]], "rho_g_cm3": 9.1, "total_energy_ev_per_atom": -5.433, "m_tot_mub_per_fu": 1.4}


16.
{"formula": "Ho2FeAg", "functional": "PBE-GGA", "state": "relaxed", "lattice_angstrom": [[-0.235, 3.337, 0.522], [-2.565, 1.748, -1.351], [-6.196, 0.087, 7.631]], "species": ["Ag", "Fe", "Ho", "Ho"], "fractional_positions": [[0.000, 0.000, 0.000], [0.500, 0.500, 0.500], [0.103, 0.103, 0.692], [0.897, 0.897, 0.308]], "rho_g_cm3": 8.6, "total_energy_ev_per_atom": -4.775, "m_tot_mub_per_fu": 0.8}


17.
{"formula": "Ho5Fe2Ag2", "functional": "PBE-GGA", "state": "relaxed", "lattice_angstrom": [[6.715, 0.000, 2.437], [0.000, 7.205, 0.000], [0.592, 0.000, 8.836]], "species": ["Ho", "Ag", "Ho", "Ho", "Ho", "Ag", "Ho", "Ho", "Fe", "Ho", "Ho", "Fe", "Fe", "Fe", "Ho", "Ag", "Ho", "Ag"], "fractional_positions": [[0.944, 0.317, 0.748], [0.721, 0.500, 0.557], [0.500, 0.500, 0.000], [0.056, 0.683, 0.252], [0.308, 0.683, 0.748], [0.279, 0.500, 0.443], [0.192, 0.183, 0.252], [0.556, 0.817, 0.252], [0.605, 0.108, 0.000], [0.444, 0.183, 0.748], [0.808, 0.817, 0.748], [0.105, 0.392, 0.000], [0.895, 0.608, 0.000], [0.395, 0.892, 0.000], [0.692, 0.317, 0.252], [0.221, 0.000, 0.557], [0.000, 0.000, 0.000], [0.779, 0.000, 0.443]], "rho_g_cm3": 9.2, "total_energy_ev_per_atom": -5.182, "m_tot_mub_per_fu": 1.4}


18.
{"formula": "Ho8FeAg2", "functional": "PBE-GGA", "state": "relaxed", "lattice_angstrom": [[5.212, 0.000, 0.000], [0.000, 6.767, 0.094], [-2.606, -2.787, 8.093]], "species": ["Ho", "Ho", "Ag", "Ho", "Ho", "Ho", "Ag", "Ho", "Fe", "Ho", "Ho"], "fractional_positions": [[0.801, 0.700, 0.602], [0.199, 0.300, 0.398], [0.184, 0.712, 0.367], [0.590, 0.423, 0.179], [0.410, 0.577, 0.821], [0.026, 0.794, 0.052], [0.816, 0.288, 0.633], [0.974, 0.206, 0.948], [0.500, 0.000, 0.000], [0.344, 0.037, 0.688], [0.656, 0.963, 0.312]], "rho_g_cm3": 9.2, "total_energy_ev_per_atom": -4.702, "m_tot_mub_per_fu": 0.0}


19.
{"formula": "Ho2FeAg", "functional": "PBE-GGA", "state": "relaxed", "lattice_angstrom": [[-3.275, 0.408, 0.460], [-0.099, -2.811, 1.786], [1.367, 3.926, 6.256]], "species": ["Ho", "Ag", "Ho", "Fe"], "fractional_positions": [[0.000, 0.000, 0.784], [0.500, 0.500, 0.500], [0.000, 0.000, 0.216], [0.500, 0.500, 0.000]], "rho_g_cm3": 9.8, "total_energy_ev_per_atom": -5.245, "m_tot_mub_per_fu": 0.0}


20.
{"formula": "HoFe4Ag", "functional": "PBE-GGA", "state": "relaxed", "lattice_angstrom": [[5.035, 0.000, 0.000], [2.518, 4.361, 0.000], [2.518, 1.454, 4.111]], "species": ["Fe", "Fe", "Ag", "Ho", "Fe", "Fe"], "fractional_positions": [[0.625, 0.625, 0.625], [0.124, 0.625, 0.625], [0.250, 0.250, 0.250], [0.000, 0.000, 0.000], [0.625, 0.625, 0.124], [0.625, 0.124, 0.625]], "rho_g_cm3": 9.1, "total_energy_ev_per_atom": -6.848, "m_tot_mub_per_fu": 9.5}